DFT (GGA-PBE) results for an optimized crystal structure of InTcHg2.

Cell lengths 10.6776, 10.6776, 10.6776 Å; angles 157.71, 157.71, 31.73 degrees
With the nearest neighbours (Å) after each atom.
Positions (direct):
In: 0.0000 0.0000 0.0000  4 Tc 2.92, 4 Hg 2.98
In: 0.7500 0.2500 0.5000  4 Tc 2.92, 4 Hg 2.98
Tc: 0.2500 0.7500 0.5000  4 In 2.92, 4 Hg 2.93
Tc: 0.5000 0.5000 0.0000  4 In 2.92, 4 Hg 2.93
Hg: 0.1404 0.6250 0.0154  4 Hg 2.83-3.01, 2 Tc 2.93, 2 In 2.98
Hg: 0.3750 0.3904 0.5154  4 Hg 2.83-3.01, 2 Tc 2.93, 2 In 2.98
Hg: 0.6096 0.1250 0.9846  4 Hg 2.83-3.01, 2 Tc 2.93, 2 In 2.98
Hg: 0.8750 0.8596 0.4846  4 Hg 2.83-3.01, 2 Tc 2.93, 2 In 2.98

Results
Crystal system: tetragonal
SG: I-42d (122)
Energy of formation in kcal/mol of atoms: 14.1
Magnetization in μB per atom: 0.239



DFT (GGA-PBE) results for an optimized crystal structure of ZrSb7.

Cell lengths 6.6684, 6.6684, 6.6684 Å; angles 60.00, 60.00, 60.00 degrees
With the nearest neighbours (Å) after each atom.
Positions (direct):
Zr: 0.0000 0.0000 0.0000  12 Sb 3.33
Sb: 0.0000 0.0000 0.5000  2 Zr 3.33, 10 Sb 3.33
Sb: 0.0000 0.5000 0.0000  2 Zr 3.33, 10 Sb 3.33
Sb: 0.0000 0.5000 0.5000  2 Zr 3.33, 10 Sb 3.33
Sb: 0.5000 0.0000 0.0000  2 Zr 3.33, 10 Sb 3.33
Sb: 0.5000 0.0000 0.5000  2 Zr 3.33, 10 Sb 3.33
Sb: 0.5000 0.5000 0.0000  2 Zr 3.33, 10 Sb 3.33
Sb: 0.5000 0.5000 0.5000  12 Sb 3.33

Results
Crystal system: cubic
SG: Fm-3m (225)
Formation energy without anion corrections in eV per atom: 0.157
Magnetization in μB per atom: 0.000



DFT (GGA-PBE) results for an optimized crystal structure of BeMoBr3.

Cell lengths 5.2748, 5.2748, 5.2748 Å; angles 90.00, 90.00, 90.00 degrees
With the nearest neighbours (Å) after each atom.
Positions (direct):
Be: 0.0000 0.0000 0.0000  12 Br 3.73
Mo: 0.5000 0.5000 0.5000  6 Br 2.64
Br: 0.0000 0.5000 0.5000  2 Mo 2.64
Br: 0.5000 0.0000 0.5000  2 Mo 2.64
Br: 0.5000 0.5000 0.0000  2 Mo 2.64

Results
Crystal system: cubic
SG: Pm-3m (221)
Formation energy without anion corrections in eV per atom: 0.526
Magnetization in μB per atom: 0.596
Energy above the most stable polymorph in this dataset in meV per atom: 113



DFT (GGA-PBE) results for an optimized crystal structure of Pm2H2SeS.

Cell lengths 3.9374, 3.9374, 7.7425 Å; angles 90.00, 90.00, 120.00 degrees
With the nearest neighbours (Å) after each atom.
Positions (direct):
Pm: 0.3333 0.6667 0.2592  3 H 2.27
Pm: 0.6667 0.3333 0.7408  3 H 2.27
H: 0.3333 0.6667 0.7436  3 Pm 2.27
H: 0.6667 0.3333 0.2564  3 Pm 2.27
Se: 0.0000 0.0000 0.0000  6 H 3.02, 6 Pm 3.03
S: 0.0000 0.0000 0.5000  6 Pm 2.94, 6 H 2.95

Results
Crystal system: trigonal
Total DFT energy (no corrections) in eV per atom: -5.46
SG: P-3m1 (164)
Magnetization in μB per atom: 0.000